Record 1
Computed, not measured: MgZn3Se at its PBEsol-relaxed geometry at the meta-GGA SCAN level of DFT.

Summary:
For the formation energy (no corrections), the calculation gives 685.5 meV per atom.

Lattice parameters (Å, degrees): 4.9390 4.9390 4.9390 90.00 90.00 90.00
Fractional positions:
Zn 0.5000 0.0000 0.0000
Zn 0.0000 0.5000 0.0000
Zn 0.0000 0.0000 0.5000
Mg 0.0000 0.0000 0.0000
Se 0.5000 0.5000 0.5000


Record 2
Computed, not measured: CaGaIrPt2 at its PBEsol-relaxed geometry at the meta-GGA SCAN level of DFT.

Summary:
As for the formation energy: 499 meV per atom.

Lattice parameters (Å, degrees): 4.8478 4.8478 5.1048 90.00 90.00 90.00
Fractional positions:
Pt 0.0000 0.5000 0.0000
Pt 0.5000 0.0000 0.0000
Ca 0.0000 0.0000 0.5000
Ga 0.5000 0.5000 0.5000
Ir 0.0000 0.0000 0.0000


Record 3
Computed, not measured: Ag2PO at its PBEsol-relaxed geometry at the meta-GGA SCAN level of DFT.

Summary:
For the formation energy (no corrections), the calculation gives 409.7 meV per atom.

Lattice parameters (Å, degrees): 4.2655 4.2655 4.2655 60.00 60.00 60.00
Fractional positions:
P 0.5000 0.5000 0.5000
Ag 0.7500 0.7500 0.7500
Ag 0.2500 0.2500 0.2500
O 0.0000 0.0000 0.0000


Record 4
Computed, not measured: SrLaRe2 at its PBEsol-relaxed geometry at the meta-GGA SCAN level of DFT.

Summary:
As for the formation energy: 1387 meV per atom.

Lattice parameters (Å, degrees): 4.9944 4.9944 4.9944 60.00 60.00 60.00
Fractional positions:
Re 0.7500 0.7500 0.7500
Re 0.2500 0.2500 0.2500
Sr 0.5000 0.5000 0.5000
La 0.0000 0.0000 0.0000


Record 5
Computed, not measured: ZrSe2BrN at its PBEsol-relaxed geometry at the meta-GGA SCAN level of DFT.

Summary:
For the formation energy (no corrections), the calculation gives 171.4 meV per atom.

Lattice parameters (Å, degrees): 5.1314 5.1314 5.3358 90.00 90.00 90.00
Fractional positions:
Zr 0.0000 0.0000 0.0000
Br 0.0000 0.0000 0.5000
N 0.5000 0.5000 0.5000
Se 0.5000 0.0000 0.0000
Se 0.0000 0.5000 0.0000


Record 6
Computed, not measured: Zr4N2O5 at its PBEsol-relaxed geometry at the meta-GGA SCAN level of DFT.

Summary:
For the formation energy (no corrections), the calculation gives -3178.5 meV per atom.

Lattice parameters (Å, degrees): 8.7397 8.7614 8.7693 109.34 109.54 109.27
Fractional positions:
O 0.4997 0.2644 0.5332
O 0.4777 0.4999 0.2501
O 0.2397 0.2449 0.2640
O 0.2271 0.9639 0.5056
O 0.2509 0.7698 0.7484
O 0.5010 0.7584 0.5296
O 0.7208 0.7146 0.7593
O 0.7987 0.7373 0.2988
O 0.2949 0.5003 0.5539
O 0.0032 0.9716 0.2419
O 0.0041 0.4995 0.2884
O 0.7647 0.2371 0.7340
O 0.2752 0.0275 0.0283
O 0.7293 0.9645 0.4857
O 0.0434 0.2889 0.0100
O 0.0585 0.5030 0.7973
O 0.5401 0.0390 0.2711
O 0.0193 0.7593 0.9868
O 0.5174 0.0287 0.7633
O 0.5602 0.2639 0.0630
Zr 0.0129 0.7319 0.2206
Zr 0.2259 0.2166 0.4986
Zr 0.2569 0.5077 0.2977
Zr 0.4937 0.9882 0.4949
Zr 0.2882 0.0466 0.7971
Zr 0.7407 0.7400 0.5243
Zr 0.2849 0.7857 0.0231
Zr 0.7943 0.4972 0.7535
Zr 0.5432 0.5019 0.0361
Zr 0.0362 0.4941 0.5428
Zr 0.9928 0.2075 0.7230
Zr 0.7577 0.9584 0.2491
Zr 0.7749 0.2599 0.9876
Zr 0.0004 0.0051 0.0005
Zr 0.4993 0.2675 0.2847
Zr 0.5238 0.7933 0.7930
N 0.5008 0.7192 0.0025
N 0.9796 0.2273 0.4803
N 0.2660 0.7327 0.2358
N 0.7722 0.0331 0.0320
N 0.9998 0.9690 0.7403
N 0.7550 0.5003 0.9812
N 0.2873 0.2832 0.7850
N 0.7823 0.4969 0.4984


Record 7
Computed, not measured: KCd5 at its PBEsol-relaxed geometry at the meta-GGA SCAN level of DFT.

Summary:
As for the formation energy: -96 meV per atom.

Lattice parameters (Å, degrees): 4.7207 6.0671 6.0671 120.00 90.00 90.00
Fractional positions:
K 0.0000 0.0000 0.0000
Cd 0.5000 0.5000 0.0000
Cd 0.0000 0.3333 0.6667
Cd 0.5000 0.5000 0.5000
Cd 0.0000 0.6667 0.3333
Cd 0.5000 0.0000 0.5000


Record 8
Computed, not measured: Ba2NaPb2 at its PBEsol-relaxed geometry at the meta-GGA SCAN level of DFT.

Summary:
As for the formation energy: -617 meV per atom.

Lattice parameters (Å, degrees): 4.9897 8.8689 8.8689 90.00 90.00 90.00
Fractional positions:
Pb 0.0000 0.6246 0.1246
Pb 0.0000 0.8754 0.6246
Pb 0.0000 0.3754 0.8754
Pb 0.0000 0.1246 0.3754
Ba 0.5000 0.1691 0.6691
Ba 0.5000 0.3309 0.1691
Ba 0.5000 0.6691 0.8309
Ba 0.5000 0.8309 0.3309
Na 0.0000 0.0000 0.0000
Na 0.0000 0.5000 0.5000


Record 9
Computed, not measured: NiGe at its PBEsol-relaxed geometry at the meta-GGA SCAN level of DFT.

Summary:
As for the formation energy: -351 meV per atom.

Lattice parameters (Å, degrees): 3.4350 5.3314 5.7058 90.00 90.00 90.00
Fractional positions:
Ge 0.7500 0.3117 0.0889
Ge 0.7500 0.8117 0.4111
Ge 0.2500 0.1883 0.5889
Ge 0.2500 0.6883 0.9111
Ni 0.7500 0.4927 0.6879
Ni 0.2500 0.0073 0.1879
Ni 0.7500 0.9927 0.8121
Ni 0.2500 0.5073 0.3121


Record 10
Computed, not measured: SrLiAsCl2 at its PBEsol-relaxed geometry at the meta-GGA SCAN level of DFT.

Summary:
For the formation energy (no corrections), the calculation gives -1042.1 meV per atom.

Lattice parameters (Å, degrees): 5.5090 5.5090 6.1322 90.00 90.00 90.00
Fractional positions:
Sr 0.0000 0.0000 0.0000
Cl 0.5000 0.0000 0.0000
Cl 0.0000 0.5000 0.0000
Li 0.5000 0.5000 0.5000
As 0.0000 0.0000 0.5000


Record 11
Computed, not measured: NaTlBAu2 at its PBEsol-relaxed geometry at the meta-GGA SCAN level of DFT.

Summary:
As for the formation energy: 75 meV per atom.

Lattice parameters (Å, degrees): 4.3158 4.3158 5.1063 90.00 90.00 90.00
Fractional positions:
Au 0.5000 0.0000 0.0000
Au 0.0000 0.5000 0.0000
Na 0.0000 0.0000 0.5000
B 0.0000 0.0000 0.0000
Tl 0.5000 0.5000 0.5000


Record 12
Computed, not measured: Nd9Ga5Se21 at its PBEsol-relaxed geometry at the meta-GGA SCAN level of DFT.

Summary:
For the formation energy (no corrections), the calculation gives -1609.3 meV per atom.

Lattice parameters (Å, degrees): 12.0465 12.0465 12.0465 94.78 94.78 94.78
Fractional positions:
Se 0.4824 0.9684 0.0630
Se 0.8175 0.3022 0.3800
Se 0.6126 0.7292 0.4740
Se 0.6908 0.2049 0.1140
Se 0.7887 0.9404 0.0437
Se 0.1439 0.2805 0.3819
Se 0.5411 0.4559 0.0062
Se 0.1661 0.6348 0.7150
Se 0.1725 0.8472 0.5108
Se 0.3019 0.5558 0.4092
Se 0.0078 0.3475 0.6750
Se 0.1140 0.6908 0.2049
Se 0.0062 0.5411 0.4559
Se 0.8967 0.7607 0.6580
Se 0.3547 0.8692 0.7918
Se 0.3800 0.8175 0.3022
Se 0.7918 0.3547 0.8692
Se 0.3475 0.6750 0.0078
Se 0.0437 0.7887 0.9404
Se 0.9821 0.2373 0.0910
Se 0.8472 0.5108 0.1725
Se 0.3022 0.3800 0.8175
Se 0.4740 0.6126 0.7292
Se 0.7150 0.1661 0.6348
Se 0.6580 0.8967 0.7607
Se 0.2805 0.3819 0.1439
Se 0.9684 0.0630 0.4824
Se 0.5558 0.4092 0.3019
Se 0.7607 0.6580 0.8967
Se 0.4092 0.3019 0.5558
Se 0.0630 0.4824 0.9684
Se 0.4559 0.0062 0.5411
Se 0.3819 0.1439 0.2805
Se 0.8692 0.7918 0.3547
Se 0.6750 0.0078 0.3475
Se 0.7292 0.4740 0.6126
Se 0.6348 0.7150 0.1661
Se 0.2049 0.1140 0.6908
Se 0.5108 0.1725 0.8472
Se 0.2373 0.0910 0.9821
Se 0.9404 0.0437 0.7887
Se 0.0910 0.9821 0.2373
Ga 0.0476 0.7201 0.3885
Ga 0.5485 0.8820 0.2256
Ga 0.8820 0.2256 0.5485
Ga 0.3885 0.0476 0.7201
Ga 0.7201 0.3885 0.0476
Ga 0.6428 0.6428 0.6428
Ga 0.2256 0.5485 0.8820
Ga 0.8501 0.8501 0.8501
Ga 0.1415 0.1415 0.1415
Ga 0.3487 0.3487 0.3487
Nd 0.0763 0.4533 0.2335
Nd 0.4533 0.2335 0.0763
Nd 0.8744 0.0954 0.2514
Nd 0.1127 0.8884 0.7415
Nd 0.2139 0.4306 0.5863
Nd 0.2335 0.0763 0.4533
Nd 0.5587 0.3896 0.7664
Nd 0.7664 0.5587 0.3896
Nd 0.4306 0.5863 0.2139
Nd 0.5583 0.7764 0.9347
Nd 0.2514 0.8744 0.0954
Nd 0.0954 0.2514 0.8744
Nd 0.7415 0.1127 0.8884
Nd 0.9347 0.5583 0.7764
Nd 0.8884 0.7415 0.1127
Nd 0.7764 0.9347 0.5583
Nd 0.5863 0.2139 0.4306
Nd 0.3896 0.7664 0.5587


Record 13
Computed, not measured: BaBeW2 at its PBEsol-relaxed geometry at the meta-GGA SCAN level of DFT.

Summary:
As for the formation energy: 1853 meV per atom.

Lattice parameters (Å, degrees): 3.9328 3.9328 4.9190 90.00 90.00 90.00
Fractional positions:
W 0.5000 0.0000 0.0000
W 0.0000 0.5000 0.0000
Be 0.0000 0.0000 0.5000
Ba 0.5000 0.5000 0.5000


Record 14
Computed, not measured: K2SbBr at its PBEsol-relaxed geometry at the meta-GGA SCAN level of DFT.

Summary:
For the formation energy (no corrections), the calculation gives -690.3 meV per atom.

Lattice parameters (Å, degrees): 4.7828 4.7828 7.2905 109.15 109.15 90.00
Fractional positions:
Br 0.2500 0.7500 0.5000
Sb 0.5000 0.5000 0.0000
K 0.7500 0.2500 0.5000
K 0.0000 0.0000 0.0000


Record 15
Computed, not measured: TiMn3P4O16 at its PBEsol-relaxed geometry at the meta-GGA SCAN level of DFT.

Summary:
For the formation energy (no corrections), the calculation gives -2503.6 meV per atom.

Lattice parameters (Å, degrees): 4.8666 5.9249 9.8127 90.00 90.10 90.00
Fractional positions:
P 0.4104 0.0000 0.1018
P 0.0720 0.0000 0.5951
P 0.9106 0.5000 0.3981
P 0.6104 0.5000 0.9038
O 0.7235 0.0000 0.1249
O 0.7641 0.2960 0.3310
O 0.2654 0.7965 0.1731
O 0.7652 0.3020 0.8296
O 0.2103 0.2065 0.6710
O 0.2225 0.5000 0.3795
O 0.3556 0.0000 0.9485
O 0.6509 0.5000 0.0565
O 0.2654 0.2035 0.1731
O 0.7622 0.0000 0.6128
O 0.7652 0.6980 0.8296
O 0.1517 0.0000 0.4444
O 0.2103 0.7935 0.6710
O 0.7641 0.7040 0.3310
O 0.3056 0.5000 0.8655
O 0.8592 0.5000 0.5549
Mn 0.5513 0.0000 0.7792
Mn 0.4300 0.5000 0.2179
Mn 0.9349 0.0000 0.2840
Ti 0.0391 0.5000 0.7236


Record 16
Computed, not measured: Li6Zr2O7 at its PBEsol-relaxed geometry at the meta-GGA SCAN level of DFT.

Summary:
For the formation energy (no corrections), the calculation gives -2821.6 meV per atom.

Lattice parameters (Å, degrees): 5.9601 5.9905 10.1549 98.88 90.00 119.83
Fractional positions:
O 0.9980 0.2428 0.9793
O 0.3624 0.4944 0.2443
O 0.1541 0.0000 0.7500
O 0.8459 0.0000 0.2500
O 0.1321 0.4944 0.7443
O 0.4990 0.7352 0.9981
O 0.5010 0.2648 0.0019
O 0.7552 0.7572 0.5207
O 0.2448 0.2428 0.4793
O 0.2362 0.7352 0.4981
O 0.7638 0.2648 0.5019
O 0.6376 0.5056 0.7557
O 0.8679 0.5056 0.2557
O 0.0020 0.7572 0.0207
Zr 0.9368 0.6331 0.6346
Zr 0.3037 0.3669 0.8654
Zr 0.0632 0.3669 0.3654
Zr 0.6963 0.6331 0.1346
Li 0.4170 0.1222 0.5873
Li 0.8358 0.4132 0.8941
Li 0.5830 0.8778 0.4127
Li 0.1642 0.5868 0.1059
Li 0.7052 0.1222 0.0873
Li 0.4226 0.5868 0.6059
Li 0.1670 0.1335 0.1028
Li 0.8330 0.8665 0.8972
Li 0.0335 0.8665 0.3972
Li 0.9665 0.1335 0.6028
Li 0.2948 0.8778 0.9127
Li 0.5774 0.4132 0.3941


Record 17
Computed, not measured: LaMnAg2 at its PBEsol-relaxed geometry at the meta-GGA SCAN level of DFT.

Summary:
As for the formation energy: -81 meV per atom.

Lattice parameters (Å, degrees): 3.4306 3.4306 6.9318 90.00 90.00 90.00
Fractional positions:
Ag 0.0000 0.0000 0.9899
Ag 0.5000 0.5000 0.2002
La 0.0000 0.0000 0.5056
Mn 0.5000 0.5000 0.8043


Record 18
Computed, not measured: BaTi3B at its PBEsol-relaxed geometry at the meta-GGA SCAN level of DFT.

Summary:
As for the formation energy: 2721 meV per atom.

Lattice parameters (Å, degrees): 4.8450 4.8450 4.8450 90.00 90.00 90.00
Fractional positions:
Ba 0.0000 0.0000 0.0000
B 0.5000 0.5000 0.5000
Ti 0.0000 0.5000 0.0000
Ti 0.5000 0.0000 0.0000
Ti 0.0000 0.0000 0.5000


Record 19
Computed, not measured: Si2BO at its PBEsol-relaxed geometry at the meta-GGA SCAN level of DFT.

Summary:
For the formation energy (no corrections), the calculation gives -401.2 meV per atom.

Lattice parameters (Å, degrees): 4.4310 4.4310 5.6901 112.91 112.91 90.00
Fractional positions:
Si 0.1250 0.1320 0.7500
Si 0.3820 0.8750 0.2500
Si 0.8680 0.3750 0.2500
Si 0.6250 0.6180 0.7500
B 0.7500 0.2500 0.5000
B 0.5000 0.5000 0.0000
O 0.2500 0.7500 0.5000
O 0.0000 0.0000 0.0000


Record 20
Computed, not measured: CsSc3Os at its PBEsol-relaxed geometry at the meta-GGA SCAN level of DFT.

Summary:
As for the formation energy: 167 meV per atom.

Lattice parameters (Å, degrees): 5.1929 5.1929 5.1929 90.00 90.00 90.00
Fractional positions:
Os 0.0000 0.0000 0.0000
Cs 0.5000 0.5000 0.5000
Sc 0.0000 0.0000 0.5000
Sc 0.5000 0.0000 0.0000
Sc 0.0000 0.5000 0.0000


| no. | raw total energy (hartree per atom) |
| --- | --- |
| 1 | -0.457 |
| 2 | -1.727 |
| 3 | -0.714 |
| 4 | -1.856 |
| 5 | -0.726 |
| 6 | -0.693 |
| 7 | -0.986 |
| 8 | -1.749 |
| 9 | -0.661 |
| 10 | -0.485 |
| 11 | -1.631 |
| 12 | -1.000 |
| 13 | -1.616 |
| 14 | -0.700 |
| 15 | -0.417 |
| 16 | -0.396 |
| 17 | -1.143 |
| 18 | -0.599 |
| 19 | -0.324 |
| 20 | -1.114 |